Entry from Alexandria: a geometry-optimized CdNi2PdN structure (PBE).

The value obtained for the total DFT energy (no corrections) is -26.12 eV/cell. For the magnetic moment, the calculation gives 0.00 μB/cell.

The space group is P4/mmm (No. 123) and the conventional cell measures 3.834, 3.834 and 4.311 Å, with angles of 90.00, 90.00 and 90.00 degrees. The distinct sites, in fractional coordinates, are Cd at (0.000, 0.000, 0.000), Ni at (0.000, 0.500, 0.500), Pd at (0.500, 0.500, 0.000) and N at (0.500, 0.500, 0.500).

=====

Entry from Alexandria: a geometry-optimized Rb2CdNiN structure (PBE).

The value obtained for the total DFT energy (no corrections) is -16.52 eV/cell. For the magnetic moment, the calculation gives 0.00 μB/cell.

The space group is P4/mmm (No. 123) and the conventional cell measures 6.400, 6.400 and 3.487 Å, with angles of 90.00, 90.00 and 90.00 degrees. The distinct sites, in fractional coordinates, are Rb at (0.000, 0.500, 0.000), Cd at (0.000, 0.000, 0.500), Ni at (0.500, 0.500, 0.500) and N at (0.500, 0.500, 0.000).

=====

Question: Which of these has the highest total DFT energy (no corrections)?
Answer: Rb2CdNiN

=====

Question: What is the total DFT energy (no corrections) in the second record?
Answer: -16.52 eV/cell